# 1
DFT (PBE-GGA) results for a relaxed BeAgIr crystal.

```
BeAgIr
1.0
-0.275 -4.229 -5.154
-0.466 -5.719 -2.878
-2.332 0.497 -1.326
Ir Be Ag
1 1 1
Direct
0.689 0.689 0.311
0.324 0.324 0.676
0.986 0.986 0.014
```

Computed properties:
Its space-group type is Fmm2, No. 42. The value obtained for the final energy is -15.27 eV/cell. Its polymorph energy (0 for the lowest one) is 116 meV/atom. As for the density: 12.31 Mg/m³.



# 2
DFT (PBE-GGA) results for a relaxed Be2AgIr crystal.

```
Be2AgIr
1.0
-3.872 1.987 1.342
-3.970 1.684 -1.466
-2.574 -3.162 0.430
Ag Ir Be
1 1 2
Direct
0.254 0.254 0.189
0.487 0.487 0.579
0.001 0.001 0.046
0.758 0.758 0.686
```

Computed properties:
Its space-group type is Cm, No. 8. The value obtained for the final energy is -19.57 eV/cell. As for the density: 10.85 Mg/m³.



# 3
DFT (PBE-GGA) results for a relaxed BeAgIr3 crystal.

```
BeAgIr3
1.0
4.787 0.000 0.000
0.000 4.787 0.000
0.000 0.000 4.787
Be Ir Ag
1 3 1
Direct
0.500 0.500 0.500
0.000 0.000 0.500
0.000 0.500 0.000
0.500 0.000 0.000
0.000 0.000 0.000
```

Computed properties:
Its space-group type is Pm-3m, No. 221. The value obtained for the final energy is -19.64 eV/cell. Its polymorph energy (0 for the lowest one) is 2151 meV/atom. As for the density: 10.50 Mg/m³.



# 4
DFT (PBE-GGA) results for a relaxed BeAgIr crystal.

```
BeAgIr
1.0
2.774 0.000 0.000
-1.387 2.402 0.000
0.000 0.000 6.205
Ir Be Ag
1 1 1
Direct
0.333 0.667 0.621
0.667 0.333 0.354
0.000 0.000 0.025
```

Computed properties:
Its space-group type is P3m1, No. 156. The value obtained for the final energy is -15.45 eV/cell. Its polymorph energy (0 for the lowest one) is 55 meV/atom. As for the density: 12.41 Mg/m³.



# 5
DFT (PBE-GGA) results for a relaxed BeAgIr2 crystal.

```
BeAgIr2
1.0
4.619 0.002 0.000
1.315 4.428 0.000
-2.967 -2.215 2.762
Ag Ir Be
1 2 1
Direct
0.500 0.500 0.000
0.250 0.750 0.500
0.000 0.000 0.000
0.750 0.250 0.500
```

Computed properties:
Its space-group type is I-4m2, No. 119. The value obtained for the final energy is -23.04 eV/cell. As for the density: 14.74 Mg/m³.



# 6
DFT (PBE-GGA) results for a relaxed Be2AgIr crystal.

```
Be2AgIr
1.0
4.069 -0.003 0.012
3.019 2.728 0.012
1.179 0.453 4.672
Be Ag Ir
2 1 1
Direct
0.489 0.489 0.574
0.011 0.011 0.926
0.250 0.250 0.250
0.750 0.750 0.750
```

Computed properties:
Its space-group type is C2/m, No. 12. The value obtained for the final energy is -19.26 eV/cell. As for the density: 10.19 Mg/m³.



# 7
DFT (PBE-GGA) results for a relaxed Be2AgIr crystal.

```
Be2AgIr
1.0
5.256 0.171 -0.065
3.014 4.309 0.065
-3.835 -2.794 2.268
Ag Ir Be
1 1 2
Direct
0.270 0.770 0.500
0.529 0.529 0.000
0.989 0.989 0.000
0.712 0.212 0.500
```

Computed properties:
Its space-group type is Imm2, No. 44. The value obtained for the final energy is -19.42 eV/cell. As for the density: 10.44 Mg/m³.



# 8
DFT (PBE-GGA) results for a relaxed Be2AgIr crystal.

```
Be2AgIr
1.0
7.653 -0.026 -0.016
7.150 2.730 -0.016
7.150 1.306 2.397
Ir Ag Be
1 1 2
Direct
0.250 0.250 0.250
0.750 0.750 0.750
0.993 0.993 0.993
0.507 0.507 0.507
```

Computed properties:
Its space-group type is R-3m, No. 166. The value obtained for the final energy is -19.31 eV/cell. As for the density: 10.39 Mg/m³.



Question: Which formula does entry 7 have?
Answer: Be2AgIr



Question: What is the formula in the fifth record?
Answer: BeAgIr2



Question: Number 5 is which compound?
Answer: BeAgIr2



Question: Among the records above, which one has the lowest final energy?
Answer: BeAgIr2